No. 1
Below is Dy3Mg3CdGa2 after structural relaxation, with properties calculated at the PBE level.

Cell lengths 7.3811, 7.3811, 4.4395 Å; angles 90.00, 90.00, 120.00 degrees
Closest atoms and distances in Å follow each position.
Element x y z (fractional)
Cd (0.0000, 0.0000, 0.0000)  6 Mg 2.89, 3 Dy 3.17
Dy (0.5700, 0.0000, 0.0000)  4 Ga 3.12, 1 Cd 3.17, 2 Mg 3.24
Dy (0.4300, 0.4300, 0.0000)  4 Ga 3.12, 1 Cd 3.17, 2 Mg 3.24
Dy (0.0000, 0.5700, 0.0000)  4 Ga 3.12, 1 Cd 3.17, 2 Mg 3.24
Ga (0.6667, 0.3333, 0.5000)  3 Mg 2.82, 6 Dy 3.12
Ga (0.3333, 0.6667, 0.5000)  3 Mg 2.82, 6 Dy 3.12
Mg (0.2503, 0.0000, 0.5000)  2 Ga 2.82, 2 Cd 2.89
Mg (0.0000, 0.2503, 0.5000)  2 Ga 2.82, 2 Cd 2.89
Mg (0.7497, 0.7497, 0.5000)  2 Ga 2.82, 2 Cd 2.89

## Properties
For the final energy, the calculation gives -29.34 eV per cell. The symmetry is P-62m.

=====

No. 2
Below is TaAsPO after structural relaxation, with properties calculated at the PBE level.

Cell lengths 4.2359, 4.2359, 7.1853 Å; angles 90.00, 90.00, 90.00 degrees
Closest atoms and distances in Å follow each position.
Element x y z (fractional)
As (0.0000, 0.5000, 0.0410)  4 O 2.14
As (0.5000, 0.0000, 0.9590)  4 O 2.14
O (0.0000, 0.0000, 0.0000)  4 As 2.14
O (0.5000, 0.5000, 0.0000)  4 As 2.14
P (0.5000, 0.0000, 0.3121)  4 Ta 2.51, 1 As 2.54
P (0.0000, 0.5000, 0.6879)  4 Ta 2.51, 1 As 2.54
Ta (0.0000, 0.0000, 0.5000)  4 P 2.51
Ta (0.5000, 0.5000, 0.5000)  4 P 2.51

## Properties
The energy above the most stable polymorph in this dataset comes out at 592 meV/atom. For the final energy, the calculation gives -56.11 eV per cell. The symmetry is P4/nmm.

=====

No. 3
Below is CdSnAsO after structural relaxation, with properties calculated at the PBE level.

Cell lengths 4.3098, 6.4044, 6.3371 Å; angles 90.00, 90.00, 90.00 degrees
Closest atoms and distances in Å follow each position.
Element x y z (fractional)
As (0.0000, 0.3147, 0.3726)  2 Cd 2.59, 2 Sn 2.68
As (0.0000, 0.6853, 0.8726)  2 Cd 2.59, 2 Sn 2.68
Cd (0.5000, 0.8434, 0.0337)  2 O 2.30-2.32
Cd (0.5000, 0.1566, 0.5337)  2 O 2.30-2.32
O (0.5000, 0.8209, 0.3953)  2 Sn 2.27, 2 Cd 2.30-2.32
O (0.5000, 0.1791, 0.8953)  2 Sn 2.27, 2 Cd 2.30-2.32
Sn (0.0000, 0.7258, 0.4524)  2 O 2.27
Sn (0.0000, 0.2742, 0.9524)  2 O 2.27

## Properties
The energy above the most stable polymorph in this dataset comes out at 0 meV/atom. For the final energy, the calculation gives -32.92 eV per cell. The symmetry is Pmc2_1.

=====

No. 4
Below is YIrI6 after structural relaxation, with properties calculated at the PBE level.

Cell lengths 7.3255, 7.3255, 7.4706 Å; angles 99.16, 99.16, 119.87 degrees
Closest atoms and distances in Å follow each position.
Element x y z (fractional)
I (0.6068, 0.9427, 0.2251)  1 Ir 2.71, 1 Y 3.03
I (0.9102, 0.5390, 0.2283)  1 Ir 2.71
I (0.2006, 0.2350, 0.2316)  1 Ir 2.72, 1 Y 3.03
I (0.7650, 0.7994, 0.7684)  1 Ir 2.72, 1 Y 3.03
I (0.4610, 0.0898, 0.7717)  1 Ir 2.71
I (0.0573, 0.3932, 0.7749)  1 Ir 2.71, 1 Y 3.03
Ir (0.8334, 0.1666, 0.0000)  6 I 2.71-2.72
Y (0.1658, 0.8342, 0.0000)  6 I 3.03-3.04

## Properties
For the final energy, the calculation gives -30.35 eV per cell. The symmetry is C2.

=====

No. 5
Below is LiAlAg2 after structural relaxation, with properties calculated at the PBE level.

Cell lengths 4.5256, 4.5256, 3.1025 Å; angles 90.00, 90.00, 90.00 degrees
Closest atoms and distances in Å follow each position.
Element x y z (fractional)
Ag (0.5000, 0.0000, 0.5000)  4 Al 2.74, 4 Li 2.74
Ag (0.0000, 0.5000, 0.5000)  4 Al 2.74, 4 Li 2.74
Al (0.0000, 0.0000, 0.0000)  8 Ag 2.74
Li (0.5000, 0.5000, 0.0000)  8 Ag 2.74

## Properties
For the final energy, the calculation gives -12.25 eV per cell. The symmetry is P4/mmm.

=====

No. 6
Below is ZrI after structural relaxation, with properties calculated at the PBE level.

Cell lengths 4.7911, 4.7911, 5.5610 Å; angles 90.00, 90.00, 120.00 degrees
Closest atoms and distances in Å follow each position.
Element x y z (fractional)
I (0.3333, 0.6667, 0.2500)  6 Zr 3.10
I (0.6667, 0.3333, 0.7500)  6 Zr 3.10
Zr (0.0000, 0.0000, 0.0000)  2 Zr 2.78, 6 I 3.10
Zr (0.0000, 0.0000, 0.5000)  2 Zr 2.78, 6 I 3.10

## Properties
For the final energy, the calculation gives -19.81 eV per cell. The symmetry is P6_3/mmc.